Density functional theory data (PBE+U) for a relaxed structure of MnSiO3.

abc: 6.378 9.144 12.066
angles: 70.85 86.14 83.00
Space group P-1 (No. 2)
Inequivalent atoms, fractional coordinates:
Mn 0.000 0.000 0.000 (multiplicity 1)
Mn 0.127 0.821 0.310 (multiplicity 2)
Mn 0.134 0.463 0.704 (multiplicity 2)
Mn 0.229 0.294 0.951 (multiplicity 2)
Mn 0.242 0.881 0.543 (multiplicity 2)
Mn 0.500 0.000 0.000 (multiplicity 1)
Si 0.165 0.188 0.363 (multiplicity 2)
Si 0.201 0.659 0.921 (multiplicity 2)
Si 0.321 0.667 0.157 (multiplicity 2)
Si 0.367 0.158 0.609 (multiplicity 2)
Si 0.463 0.815 0.806 (multiplicity 2)
O 0.002 0.218 0.065 (multiplicity 2)
O 0.048 0.699 0.623 (multiplicity 2)
O 0.076 0.023 0.372 (multiplicity 2)
O 0.128 0.513 0.888 (multiplicity 2)
O 0.174 0.266 0.644 (multiplicity 2)
O 0.176 0.596 0.273 (multiplicity 2)
O 0.228 0.858 0.116 (multiplicity 2)
O 0.240 0.096 0.918 (multiplicity 2)
O 0.313 0.590 0.051 (multiplicity 2)
O 0.316 0.132 0.482 (multiplicity 2)
O 0.330 0.262 0.254 (multiplicity 2)
O 0.368 0.970 0.696 (multiplicity 2)
O 0.399 0.786 0.414 (multiplicity 2)
O 0.427 0.349 0.815 (multiplicity 2)
O 0.445 0.146 0.084 (multiplicity 2)

Calculated values
Total moment (μB/cell): 46.0
E (eV for the cell shown): -383.6